Record 1
GGA-PBE Tl2OsPdAu, optimized geometry; space-group type = P4/mmm (123); energy of formation from the pure elements = 1.478 eV/atom
1.0
5.321 0.000 0.000
0.000 5.321 0.000
0.000 0.000 5.110
Tl Os Pd Au
2 1 1 1
direct
0.000 0.500 0.000 Tl
0.500 0.000 0.000 Tl
0.000 0.000 0.500 Os
0.500 0.500 0.500 Pd
0.000 0.000 0.000 Au

***

Record 2
GGA-PBE V2OsPdAu, optimized geometry; space-group type = P4/mmm (123); energy of formation from the pure elements = 1.100 eV/atom
1.0
4.510 0.000 0.000
0.000 4.510 0.000
0.000 0.000 5.059
V Os Pd Au
2 1 1 1
direct
0.000 0.500 0.000 V
0.500 0.000 0.000 V
0.000 0.000 0.000 Os
0.500 0.500 0.500 Pd
0.000 0.000 0.500 Au

***

Record 3
GGA-PBE Pm5Os2Au, optimized geometry; space-group type = I4/mcm (140); energy of formation from the pure elements = -0.311 eV/atom
1.0
-3.939 3.939 6.790
3.939 -3.939 6.790
3.939 3.939 -6.790
Pm Os Au
10 4 2
direct
0.000 0.000 0.000 Pm
0.027 0.527 0.825 Pm
0.202 0.027 0.500 Pm
0.298 0.798 0.825 Pm
0.473 0.298 0.500 Pm
0.500 0.500 0.000 Pm
0.527 0.702 0.500 Pm
0.702 0.202 0.175 Pm
0.798 0.973 0.500 Pm
0.973 0.473 0.175 Pm
0.136 0.364 0.500 Os
0.364 0.864 0.228 Os
0.636 0.136 0.772 Os
0.864 0.636 0.500 Os
0.250 0.250 0.000 Au
0.750 0.750 0.000 Au

***

Record 4
GGA-PBE Pm8Os2Au, optimized geometry; space-group type = Cm (8); energy of formation from the pure elements = -0.144 eV/atom
1.0
4.326 -6.467 0.000
4.326 6.467 0.000
-1.815 0.000 5.824
Pm Os Au
8 2 1
direct
0.000 0.000 0.000 Pm
0.033 0.299 0.602 Pm
0.143 0.596 0.203 Pm
0.299 0.033 0.602 Pm
0.447 0.713 0.798 Pm
0.596 0.143 0.203 Pm
0.713 0.447 0.798 Pm
0.742 0.742 0.400 Pm
0.062 0.682 0.698 Os
0.682 0.062 0.698 Os
0.368 0.368 0.342 Au

***

Record 5
GGA-PBE Pm6Os2Au, optimized geometry; space-group type = Immm (71); energy of formation from the pure elements = -0.255 eV/atom
1.0
-4.817 4.860 5.253
4.817 -4.860 5.253
4.817 4.860 -5.253
Pm Os Au
12 4 2
direct
0.015 0.830 0.185 Pm
0.244 0.547 0.303 Pm
0.244 0.941 0.697 Pm
0.276 0.318 0.593 Pm
0.276 0.682 0.958 Pm
0.355 0.170 0.185 Pm
0.645 0.830 0.815 Pm
0.724 0.318 0.042 Pm
0.724 0.682 0.407 Pm
0.756 0.059 0.303 Pm
0.756 0.453 0.697 Pm
0.985 0.170 0.815 Pm
0.000 0.175 0.175 Os
0.000 0.825 0.825 Os
0.382 0.382 0.000 Os
0.618 0.618 0.000 Os
0.000 0.500 0.500 Au
0.500 0.000 0.500 Au

***

Record 6
GGA-PBE Pm2OsAu, optimized geometry; space-group type = P4/mmm (123); energy of formation from the pure elements = -0.402 eV/atom
1.0
3.499 0.000 0.000
0.000 3.499 0.000
0.000 0.000 7.607
Pm Os Au
2 1 1
direct
0.000 0.000 0.228 Pm
0.000 0.000 0.772 Pm
0.500 0.500 0.000 Os
0.500 0.500 0.500 Au

***

Q: What is the energy of formation from the pure elements in the third record?
A: -0.311 eV/atom